This record from Alexandria via LeMat-Bulk describes a relaxed NpNiPb crystal. The functional is PBE.

abc: 4.6016 4.6016 4.6016
angles: 60.00 60.00 60.00
Closest atoms and distances in Å follow each position.
Fractional coordinates of all 3 atoms:
Pb  0.0000  0.0000  0.0000  4 Ni 2.82
Np  0.5000  0.5000  0.5000  4 Ni 2.82
Ni  0.2500  0.2500  0.2500  4 Pb 2.82, 4 Np 2.82

Computed properties:
As for the density of states at the Fermi level: 10.6 states/eV/f.u. Its formation energy is 13.6 kJ/mol of atoms.

***

This record from Alexandria via LeMat-Bulk describes a relaxed NpNiPb2S5 crystal. The functional is PBE.

abc: 3.9330 8.7810 12.6184
angles: 90.00 90.00 102.94
Closest atoms and distances in Å follow each position.
Fractional coordinates of all 18 atoms:
S  0.3536  0.7071  0.0069  1 Np 2.65, 2 Pb 2.96
S  0.6952  0.3904  0.8898  1 Ni 2.24
S  0.6464  0.2929  0.5069  1 Np 2.65, 2 Pb 2.96
S  0.4990  0.9980  0.7831  1 Ni 2.25
S  0.0468  0.0937  0.0186  2 Ni 2.27
S  0.9532  0.9063  0.5186  2 Ni 2.27
S  0.2904  0.5807  0.6683  2 Np 2.65
S  0.3048  0.6096  0.3898  1 Ni 2.24
S  0.5010  0.0020  0.2831  1 Ni 2.25
S  0.7096  0.4193  0.1683  2 Np 2.65
Pb  0.8788  0.7577  0.8298  7 S 2.91-3.23
Pb  0.0910  0.1820  0.6653  5 S 2.93-3.00
Pb  0.1212  0.2423  0.3298  7 S 2.91-3.23
Pb  0.9090  0.8180  0.1653  5 S 2.93-3.00
Ni  0.5687  0.1373  0.9345  4 S 2.24-2.27
Ni  0.4313  0.8627  0.4345  4 S 2.24-2.27
Np  0.8006  0.6012  0.5276  6 S 2.61-2.65
Np  0.1994  0.3988  0.0276  6 S 2.61-2.65

Computed properties:
As for the density of states at the Fermi level: 11.0 states/eV/f.u. The calculation puts the formation energy from raw total energies at -0.70 eV per atom.

***

This record from Alexandria via LeMat-Bulk describes a relaxed NpNiPbS3 crystal. The functional is PBE.

abc: 3.9255 8.2954 8.5413
angles: 103.47 90.00 90.00
Closest atoms and distances in Å follow each position.
Fractional coordinates of all 12 atoms:
Pb  0.7500  0.8277  0.7548  7 S 3.02-3.22, 1 Ni 3.10
Pb  0.2500  0.1723  0.2452  7 S 3.02-3.22, 1 Ni 3.10
Ni  0.2500  0.0860  0.5795  4 S 2.29-2.35
Ni  0.7500  0.9140  0.4205  4 S 2.29-2.35
S  0.2500  0.7989  0.4814  3 Ni 2.29-2.33
S  0.2500  0.1114  0.8594  1 Ni 2.35
S  0.2500  0.5582  0.8380  3 Np 2.74-2.76
S  0.7500  0.4418  0.1620  3 Np 2.74-2.76
S  0.7500  0.2011  0.5186  3 Ni 2.29-2.33
S  0.7500  0.8886  0.1406  1 Ni 2.35
Np  0.2500  0.6730  0.1683  6 S 2.64-2.76
Np  0.7500  0.3270  0.8317  6 S 2.64-2.76

Computed properties:
As for the density of states at the Fermi level: 9.7 states/eV/f.u. The calculation puts the formation energy from raw total energies at -0.82 eV per atom.

***

This record from Alexandria via LeMat-Bulk describes a relaxed NpNiPbSe3 crystal. The functional is PBE.

abc: 4.0766 8.5562 9.0388
angles: 102.95 90.00 90.00
Closest atoms and distances in Å follow each position.
Fractional coordinates of all 12 atoms:
Se  0.2500  0.5660  0.8367  3 Np 2.87-2.89
Se  0.2500  0.7884  0.4765  3 Ni 2.45-2.46
Se  0.2500  0.1071  0.8638  1 Ni 2.50
Se  0.7500  0.2116  0.5235  3 Ni 2.45-2.46
Se  0.7500  0.4340  0.1633  3 Np 2.87-2.89
Se  0.7500  0.8929  0.1362  1 Ni 2.50
Pb  0.2500  0.1606  0.2627  6 Se 3.07-3.37, 3 Ni 3.12-3.41
Pb  0.7500  0.8394  0.7373  6 Se 3.07-3.37, 3 Ni 3.12-3.41
Np  0.7500  0.3299  0.8357  6 Se 2.78-2.89
Np  0.2500  0.6701  0.1643  6 Se 2.78-2.89
Ni  0.2500  0.0793  0.5825  4 Se 2.45-2.50, 2 Ni 2.70
Ni  0.7500  0.9207  0.4175  4 Se 2.45-2.50, 2 Ni 2.70

Computed properties:
As for the density of states at the Fermi level: 10.9 states/eV/f.u. The calculation puts the formation energy from raw total energies at -0.68 eV per atom.

***

This record from Alexandria via LeMat-Bulk describes a relaxed NpNi8Pd3 crystal. The functional is PBE.

abc: 4.8296 4.8296 7.7685
angles: 90.00 90.00 120.00
Closest atoms and distances in Å follow each position.
Fractional coordinates of all 12 atoms:
Ni  0.1646  0.3293  0.2472  6 Ni 2.39-2.44
Ni  0.5026  0.4974  0.7535  6 Ni 2.38-2.45
Ni  0.1646  0.8354  0.2472  6 Ni 2.39-2.44
Ni  0.3333  0.6667  0.9992  6 Ni 2.38-2.39
Ni  0.3333  0.6667  0.4984  6 Ni 2.41-2.44
Ni  0.5026  0.0053  0.7535  6 Ni 2.38-2.45
Ni  0.9947  0.4974  0.7535  6 Ni 2.38-2.45
Ni  0.6707  0.8354  0.2472  6 Ni 2.39-2.44
Pd  0.6667  0.3333  0.0612  12 Ni 2.76-2.83, 4 Pd 2.86-2.93
Pd  0.0000  0.0000  0.9445  12 Ni 2.72-2.83, 3 Pd 2.93, 1 Np 2.94
Pd  0.6667  0.3333  0.4289  12 Ni 2.80-2.87, 1 Pd 2.86, 3 Np 2.98
Np  0.0000  0.0000  0.5658  12 Ni 2.82-2.84, 4 Pd 2.94-2.98

Computed properties:
As for the density of states at the Fermi level: 20.7 states/eV/f.u. Its formation energy is -7.7 kJ/mol of atoms.

***

This record from Alexandria via LeMat-Bulk describes a relaxed NpNi2Pd crystal. The functional is PBE.

abc: 2.6995 2.6995 9.8765
angles: 82.15 82.15 60.00
Closest atoms and distances in Å follow each position.
Fractional coordinates of all 4 atoms:
Ni  0.9145  0.9145  0.2565  1 Pd 2.50, 6 Ni 2.70
Ni  0.0855  0.0855  0.7435  1 Pd 2.50, 6 Ni 2.70
Pd  0.0000  0.0000  0.0000  2 Ni 2.50, 6 Pd 2.70
Np  0.5000  0.5000  0.5000  6 Np 2.70, 6 Ni 2.84

Computed properties:
As for the density of states at the Fermi level: 6.6 states/eV/f.u. Its formation energy is 33.5 kJ/mol of atoms.

***

This record from Alexandria via LeMat-Bulk describes a relaxed NpNi4Pd crystal. The functional is PBE.

abc: 4.8816 4.8816 4.8816
angles: 60.00 60.00 60.00
Closest atoms and distances in Å follow each position.
Fractional coordinates of all 6 atoms:
Np  0.2500  0.2500  0.2500  12 Ni 2.86, 4 Pd 2.99
Pd  0.0000  0.0000  0.0000  12 Ni 2.86, 4 Np 2.99
Ni  0.6254  0.6254  0.6254  6 Ni 2.43-2.45
Ni  0.6254  0.6254  0.1239  6 Ni 2.43-2.45
Ni  0.6254  0.1239  0.6254  6 Ni 2.43-2.45
Ni  0.1239  0.6254  0.6254  6 Ni 2.43-2.45

Computed properties:
As for the density of states at the Fermi level: 9.9 states/eV/f.u. Its formation energy is -19.8 kJ/mol of atoms.

***

This record from Alexandria via LeMat-Bulk describes a relaxed NpNi2Pd crystal. The functional is PBE.

abc: 4.4510 4.4510 4.4510
angles: 60.00 60.00 60.00
Closest atoms and distances in Å follow each position.
Fractional coordinates of all 4 atoms:
Ni  0.7500  0.7500  0.7500  4 Pd 2.73, 4 Np 2.73
Ni  0.2500  0.2500  0.2500  4 Np 2.73, 4 Pd 2.73
Np  0.0000  0.0000  0.0000  8 Ni 2.73
Pd  0.5000  0.5000  0.5000  8 Ni 2.73

Computed properties:
As for the density of states at the Fermi level: 8.3 states/eV/f.u. Its formation energy is -3.2 kJ/mol of atoms.

***

This record from Alexandria via LeMat-Bulk describes a relaxed NpNi4Pd8 crystal. The functional is PBE.

abc: 5.0061 6.7355 6.7355
angles: 82.06 68.18 68.18
Closest atoms and distances in Å follow each position.
Fractional coordinates of all 13 atoms:
Pd  0.5000  0.7836  0.2164  4 Ni 2.56, 6 Pd 2.71-2.86
Pd  0.6563  0.3437  0.3437  4 Ni 2.67, 5 Pd 2.74-2.86
Pd  0.5000  0.2164  0.7836  4 Ni 2.56, 6 Pd 2.71-2.86
Pd  0.2836  0.2164  0.2164  4 Ni 2.56, 6 Pd 2.71-2.86
Pd  0.0000  0.3437  0.6563  4 Ni 2.67, 5 Pd 2.74-2.86
Pd  0.3437  0.6563  0.6563  4 Ni 2.67, 5 Pd 2.74-2.86
Pd  0.0000  0.6563  0.3437  4 Ni 2.67, 5 Pd 2.74-2.86
Pd  0.7164  0.7836  0.7836  4 Ni 2.56, 6 Pd 2.71-2.86
Ni  0.0000  0.0000  0.5000  2 Ni 2.50, 8 Pd 2.56-2.67
Ni  0.0000  0.5000  0.0000  2 Ni 2.50, 8 Pd 2.56-2.67
Ni  0.5000  0.0000  0.5000  2 Ni 2.50, 8 Pd 2.56-2.67
Ni  0.5000  0.5000  0.0000  2 Ni 2.50, 8 Pd 2.56-2.67
Np  0.0000  0.0000  0.0000  12 Pd 3.04-3.15, 8 Ni 3.37

Computed properties:
As for the density of states at the Fermi level: 26.6 states/eV/f.u. Its formation energy is -10.7 kJ/mol of atoms.

***

This record from Alexandria via LeMat-Bulk describes a relaxed NpNi2Pd crystal. The functional is PBE.

abc: 3.7810 4.0523 4.0523
angles: 90.00 90.00 90.00
Closest atoms and distances in Å follow each position.
Fractional coordinates of all 4 atoms:
Pd  0.5000  0.5000  0.5000  8 Ni 2.77, 4 Np 2.87
Ni  0.0000  0.0000  0.5000  4 Np 2.77, 4 Pd 2.77, 4 Ni 2.87
Ni  0.0000  0.5000  0.0000  4 Np 2.77, 4 Pd 2.77, 4 Ni 2.87
Np  0.5000  0.0000  0.0000  8 Ni 2.77, 4 Pd 2.87

Computed properties:
As for the density of states at the Fermi level: 9.6 states/eV/f.u. Its formation energy is -9.9 kJ/mol of atoms.